[1]
# MnFeGe4 PBE relaxed
# size of the total moment = 0.9 μB per formula unit
# V = 430.4 Å³/cell
# DOS(E_F) = 14.63 states/eV/cell
# energy = -5.80 eV per atom
# ΔH_f (0 K) = 0.222 eV/atom
data_MnFeGe4
_chemical_formula_sum 'Mn4 Fe4 Ge16'
_symmetry_space_group_name_H-M 'I 41/a m d'
_symmetry_Int_Tables_number 141
_cell_length_a 8.612
_cell_length_b 8.612
_cell_length_c 5.804
_cell_angle_alpha 90.00
_cell_angle_beta 90.00
_cell_angle_gamma 90.00
loop_
_symmetry_equiv_pos_as_xyz
'x,y,z'
'-x,-y,-z'
'-y+1/4,x+3/4,z+1/4'
'y+1/4,-x+3/4,-z+1/4'
'-x+1/2,-y,z+1/2'
'x+1/2,y,-z+1/2'
'y+1/4,-x+1/4,z+3/4'
'-y+1/4,x+1/4,-z+3/4'
'x,-y,-z'
'-x,y,z'
'-y+1/4,-x+1/4,-z+3/4'
'y+1/4,x+1/4,z+3/4'
'-x+1/2,y,-z+1/2'
'x+1/2,-y,z+1/2'
'y+1/4,x+3/4,-z+1/4'
'-y+1/4,-x+3/4,z+1/4'
'x+1/2,y+1/2,z+1/2'
'-x+1/2,-y+1/2,-z+1/2'
'-y+3/4,x+1/4,z+3/4'
'y+3/4,-x+1/4,-z+3/4'
'-x,-y+1/2,z'
'x,y+1/2,-z'
'y+3/4,-x+3/4,z+1/4'
'-y+3/4,x+3/4,-z+1/4'
'x+1/2,-y+1/2,-z+1/2'
'-x+1/2,y+1/2,z+1/2'
'-y+3/4,-x+3/4,-z+1/4'
'y+3/4,x+3/4,z+1/4'
'-x,y+1/2,-z'
'x,-y+1/2,z'
'y+3/4,x+1/4,-z+3/4'
'-y+3/4,-x+1/4,z+3/4'
loop_
_atom_site_label
_atom_site_type_symbol
_atom_site_fract_x
_atom_site_fract_y
_atom_site_fract_z
Mn1 Mn 0.000 0.250 0.375
Fe1 Fe 0.000 0.250 0.875
Ge1 Ge 0.000 0.006 0.744



[2]
# NaNbPdO4 PBE relaxed
# E_form (uncorrected) = -11.8 eV per formula unit
# size of the total moment = 0.0 μB per formula unit
# V = 393.6 Å³/cell
# DOS(E_F) = 4.44 states/eV/cell
# energy = -6.89 eV per atom
data_NaNbPdO4
_chemical_formula_sum 'Na4 Nb4 Pd4 O16'
_symmetry_space_group_name_H-M 'I m m a'
_symmetry_Int_Tables_number 74
_symmetry_space_group_name_Hall '-I 2b 2'
_cell_length_a 5.892
_cell_length_b 6.090
_cell_length_c 10.971
_cell_angle_alpha 90.00
_cell_angle_beta 90.00
_cell_angle_gamma 90.00
loop_
_atom_site_label
_atom_site_type_symbol
_atom_site_fract_x
_atom_site_fract_y
_atom_site_fract_z
Na1 Na 0.000 0.250 0.164
Nb1 Nb 0.000 0.000 0.500
Pd1 Pd 0.250 0.250 0.750
O1 O 0.000 0.035 0.689
O2 O 0.220 0.250 0.481